Entry 1:
TlFeW2 after structural relaxation. Source: Alexandria, functional GGA-PBEsol.

Geometry as CIF:
```
data_TlFeW2
_chemical_formula_sum 'Tl1 Fe1 W2'
_space_group_name_H-M_alt 'P 1'
_space_group_IT_number 1
_space_group_name_Hall 'P 1'
_cell_length_a 3.234
_cell_length_b 4.318
_cell_length_c 5.255
_cell_angle_alpha 114.26
_cell_angle_beta 107.92
_cell_angle_gamma 90.00
loop_
_atom_site_label
_atom_site_type_symbol
_atom_site_fract_x
_atom_site_fract_y
_atom_site_fract_z
Tl1 Tl 0.000 0.500 0.000
Fe1 Fe 0.500 0.000 0.000
W1 W 0.235 0.235 0.470
W2 W 0.765 0.765 0.530
```

Values from the calculation:
* energy above the lowest structure with this stoichiometry: 0 meV/atom
* energy: -36.7 eV/f.u.


Entry 2:
Tl2FeW after structural relaxation. Source: Alexandria, functional GGA-PBEsol.

Geometry as CIF:
```
data_Tl2FeW
_chemical_formula_sum 'Tl2 Fe1 W1'
_space_group_name_H-M_alt 'P 1'
_space_group_IT_number 1
_space_group_name_Hall 'P 1'
_cell_length_a 3.204
_cell_length_b 3.204
_cell_length_c 9.046
_cell_angle_alpha 79.80
_cell_angle_beta 79.80
_cell_angle_gamma 60.00
loop_
_atom_site_label
_atom_site_type_symbol
_atom_site_fract_x
_atom_site_fract_y
_atom_site_fract_z
Fe1 Fe 0.236 0.236 0.291
Tl1 Tl 0.987 0.987 0.038
Tl2 Tl 0.758 0.758 0.726
W1 W 0.519 0.519 0.444
```

Values from the calculation:
* energy above the lowest structure with this stoichiometry: 0 meV/atom
* energy: -25.5 eV/f.u.


Entry 3:
Tl2FeW after structural relaxation. Source: Alexandria, functional GGA-PBEsol.

Geometry as CIF:
```
data_Tl2FeW
_chemical_formula_sum 'Tl2 Fe1 W1'
_space_group_name_H-M_alt 'P 1'
_space_group_IT_number 1
_space_group_name_Hall 'P 1'
_cell_length_a 3.054
_cell_length_b 5.060
_cell_length_c 5.507
_cell_angle_alpha 117.35
_cell_angle_beta 106.10
_cell_angle_gamma 90.00
loop_
_atom_site_label
_atom_site_type_symbol
_atom_site_fract_x
_atom_site_fract_y
_atom_site_fract_z
W1 W 0.500 0.000 0.000
Fe1 Fe 0.000 0.500 0.000
Tl1 Tl 0.733 0.733 0.465
Tl2 Tl 0.267 0.267 0.535
```

Values from the calculation:
* energy above the lowest structure with this stoichiometry: 349 meV/atom
* energy: -24.1 eV/f.u.


Number 1: magnetization 2.114 μB/cell. Number 2: magnetization 0.000 μB/cell. Number 3: magnetization 2.448 μB/cell.